i | # Al2FeBr

Al2FeBr at its PBEsol-relaxed geometry (meta-GGA SCAN, the Alexandria database).

Structure (extended XYZ):
```
4
Lattice="2.948 0.000 0.000 0.000 4.487 0.118 -1.474 -1.250 5.099" Properties=species:S:1:pos:R:3 pbc="T T T"
Fe 1.474 0.000 0.000
Al 0.000 0.496 2.148
Al 1.474 2.740 3.070
Br 0.000 2.243 0.059
```


ii | # Al2FeBr

Al2FeBr at its PBEsol-relaxed geometry (meta-GGA SCAN, the Alexandria database).

Structure (extended XYZ):
```
4
Lattice="-2.080 -1.314 1.757 2.190 -1.389 1.554 0.324 5.767 4.698" Properties=species:S:1:pos:R:3 pbc="T T T"
Al 0.311 5.545 4.517
Fe 0.305 3.094 5.277
Br 0.181 3.226 2.628
Al 0.123 -0.149 2.635
```


Which of them is the most stable? Correct choice: ii.


i | # CuTcCl2

CuTcCl2 at its PBEsol-relaxed geometry (meta-GGA SCAN, the Alexandria database).

Structure (extended XYZ):
```
4
Lattice="-0.471 1.779 -3.878 -2.077 -3.632 0.961 -4.258 0.041 0.536" Properties=species:S:1:pos:R:3 pbc="T T T"
Cu -2.365 0.910 -1.671
Cl -2.221 -1.361 -0.355
Tc 0.000 0.000 0.000
Cl -4.585 -0.451 -2.026
```


ii | # CuTcCl2

CuTcCl2 at its PBEsol-relaxed geometry (meta-GGA SCAN, the Alexandria database).

Structure (extended XYZ):
```
4
Lattice="-1.159 -0.846 -2.705 4.684 0.972 -0.956 0.025 -4.109 2.629" Properties=species:S:1:pos:R:3 pbc="T T T"
Cl 0.013 -2.054 1.315
Cl 2.342 0.486 -0.478
Cu 0.000 0.000 0.000
Tc 2.354 -1.569 0.836
```


Which of them is the most stable? Correct choice: ii.


i | # Zr2FeCo

Zr2FeCo at its PBEsol-relaxed geometry (meta-GGA SCAN, the Alexandria database).

Structure (extended XYZ):
```
4
Lattice="-1.449 1.366 3.958 -2.951 -2.432 2.239 1.233 -2.150 3.673" Properties=species:S:1:pos:R:3 pbc="T T T"
Zr -0.792 -0.804 2.468
Co 0.000 0.000 0.000
Zr -2.375 -2.412 7.403
Fe -1.583 -1.608 4.935
```


ii | # Zr2FeCo

Zr2FeCo at its PBEsol-relaxed geometry (meta-GGA SCAN, the Alexandria database).

Structure (extended XYZ):
```
4
Lattice="-1.508 -2.398 -1.357 -1.173 -1.513 3.985 -3.694 2.422 -0.169" Properties=species:S:1:pos:R:3 pbc="T T T"
Co -3.188 -0.745 1.229
Zr -0.587 -0.756 1.992
Zr -1.847 1.211 -0.085
Fe -0.754 -1.199 -0.678
```


Which of them is the most stable? Correct choice: i.